The following is a PBE calculation of a relaxed structure of Nd4In2Sn, from the Alexandria database.

abc: 9.3693 9.3693 9.3693
angles: 33.63 33.63 33.63
Positions (direct):
Nd  0.1210  0.1210  0.1210
Nd  0.3738  0.3738  0.3738
Nd  0.6262  0.6262  0.6262
Nd  0.8790  0.8790  0.8790
In  0.2534  0.2534  0.2534
In  0.7466  0.7466  0.7466
Sn  0.5000  0.5000  0.5000

Computed properties:
**Crystal system**: trigonal
**Energy relative to the lowest polymorph listed for this composition**: 90 meV/atom
**E_tot**: -31.181 eV/cell
**SG**: R-3m, No. 166
**Magnetic moment**: 0.00 μB per formula unit
**Formation enthalpy at 0 K**: -0.376 eV/atom